{"formula": "TiNbRe2", "functional": "SCAN", "state": "single point on PBEsol structure", "n_ef_per_ev_cell": 2.084, "delta_e_f_ev_per_atom": -0.48, "final_energy_ev_per_cell": -193.3, "lattice_angstrom": [[0.000, 3.133, 3.133], [3.133, 0.000, 3.133], [3.133, 3.133, 0.000]], "species": ["Ti", "Nb", "Re", "Re"], "frac_coords": [[0.000, 0.000, 0.000], [0.500, 0.500, 0.500], [0.250, 0.250, 0.250], [0.750, 0.750, 0.750]]}